Entry from the Alexandria database: an optimized crystal structure of ZrGeP3 (GGA-PBE).

Lattice parameters (Å, degrees): 5.0085 5.0085 5.0085 90.00 90.00 90.00
Fractional positions:
1 Zr 0.0000 0.0000 0.0000
2 Ge 0.5000 0.5000 0.5000
3 P 0.0000 0.0000 0.5000
4 P 0.0000 0.5000 0.0000
5 P 0.5000 0.0000 0.0000

energy relative to the elements = 51 kJ per mole of atoms
SG = Pm-3m (221)
Fermi-level density of states = 0.8853 states/eV per atom
uncorrected energy = -26.7 eV/cell

=====

Entry from the Alexandria database: an optimized crystal structure of Cs2KZnIn (GGA-PBE).

Lattice parameters (Å, degrees): 7.3500 7.3500 5.4363 90.00 90.00 90.00
Fractional positions:
1 Cs 0.0000 0.5000 0.0000
2 Cs 0.5000 0.0000 0.0000
3 K 0.0000 0.0000 0.5000
4 Zn 0.5000 0.5000 0.0000
5 In 0.5000 0.5000 0.5000

energy relative to the elements = 11 kJ per mole of atoms
SG = P4/mmm (123)
Fermi-level density of states = 0.9662 states/eV per atom
uncorrected energy = -6.3 eV/cell